Record 1
# NpMoP2 PBE optimized geometry
# M_tot, μB per cell: 3.36
# Energy above the most stable polymorph in this dataset, eV per atom: 0.804
# E_form, eV/atom: 0.2431
# Crystal system: trigonal
data_NpMoP2
_cell_length_a 2.8061
_cell_length_b 2.8061
_cell_length_c 28.7505
_cell_angle_alpha 90.00
_cell_angle_beta 90.00
_cell_angle_gamma 120.00
_symmetry_space_group_name_H-M 'R -3 m'
_symmetry_Int_Tables_number 166
_symmetry_space_group_name_Hall '-R 3 2"'
loop_
_atom_site_label
_atom_site_type_symbol
_atom_site_fract_x
_atom_site_fract_y
_atom_site_fract_z
Np1 Np 0.0000 0.0000 0.0000
Mo1 Mo 0.0000 0.0000 0.5000
P1 P 0.0000 0.0000 0.4140

Record 2
# NpMoP PBE optimized geometry
# M_tot, μB per cell: 0.00
# Energy above the most stable polymorph in this dataset, eV per atom: 0.000
# E_form, eV/atom: -0.6153
# Crystal system: orthorhombic
data_NpMoP
_cell_length_a 7.4929
_cell_length_b 3.4046
_cell_length_c 7.6892
_cell_angle_alpha 90.00
_cell_angle_beta 90.00
_cell_angle_gamma 90.00
_symmetry_space_group_name_H-M 'P n m a'
_symmetry_Int_Tables_number 62
_symmetry_space_group_name_Hall '-P 2ac 2n'
loop_
_atom_site_label
_atom_site_type_symbol
_atom_site_fract_x
_atom_site_fract_y
_atom_site_fract_z
Np1 Np 0.0179 0.2500 0.1124
Mo1 Mo 0.1239 0.2500 0.5688
P1 P 0.2100 0.7500 0.3525

Record 3
# NpMoP2 PBE optimized geometry
# M_tot, μB per cell: 14.22
# Energy above the most stable polymorph in this dataset, eV per atom: 0.000
# E_form, eV/atom: -0.5609
# Crystal system: trigonal
data_NpMoP2
_cell_length_a 3.5601
_cell_length_b 3.5601
_cell_length_c 19.8568
_cell_angle_alpha 90.00
_cell_angle_beta 90.00
_cell_angle_gamma 120.00
_symmetry_space_group_name_H-M 'R 3 m'
_symmetry_Int_Tables_number 160
_symmetry_space_group_name_Hall 'R 3 -2"'
loop_
_atom_site_label
_atom_site_type_symbol
_atom_site_fract_x
_atom_site_fract_y
_atom_site_fract_z
Np1 Np 0.0000 0.0000 0.0000
Mo1 Mo 0.0000 0.0000 0.8259
P1 P 0.0000 0.0000 0.4256
P2 P 0.0000 0.0000 0.5659

> Number 1 is which compound?

NpMoP2

> Among the records above, which one has the highest energy above the most stable polymorph in this dataset?

number 1

> Number 1 is which compound?

NpMoP2